CoHBr2O | PBE with a Hubbard U | relaxed

Summary:
The calculation puts the energy above the most stable polymorph in this dataset at 0 meV/atom. For the density of states at the Fermi level, the calculation gives 3.274 states/eV/f.u.

POSCAR file:
```
CoHBr2O
1.0
5.346 0.000 0.000
0.000 2.708 0.000
0.000 0.000 5.346
H Br Co O
1 2 1 1
Cartesian
0.000 1.354 0.000
0.000 0.000 2.673
2.673 0.000 0.000
2.673 1.354 2.673
0.000 0.000 0.000
```